Record 1
# La6Dy5Th

La6Dy5Th after structural relaxation (PBE, the Alexandria database).

Structure (POSCAR):
```
La6Dy5Th
1.0
-2.598 5.089 7.777
2.598 -5.089 7.777
2.598 5.089 -7.777
La Dy Th
6 5 1
Cartesian
2.598 2.546 -2.548
0.000 2.529 0.000
2.598 2.546 2.548
0.000 2.543 5.229
0.000 7.650 0.000
0.000 2.543 10.325
0.000 0.000 2.523
2.598 0.000 5.155
0.000 0.000 7.777
0.000 5.089 2.622
0.000 0.000 13.031
2.598 0.000 0.000
```

Summary:
Total energy, eV/atom: -4.97
Energy of formation, meV per atom: 34
D(E_F), states/eV per cell: 19.55

=====

Record 2
# La2Dy5Th

La2Dy5Th after structural relaxation (PBE, the Alexandria database).

Structure (POSCAR):
```
La2Dy5Th
1.0
7.149 0.000 0.000
0.000 14.329 0.000
0.000 0.000 5.148
La Dy Th
4 10 2
Cartesian
1.780 1.780 0.000
1.795 8.945 0.000
5.355 5.385 0.000
5.369 12.549 0.000
0.000 0.000 2.574
0.076 10.722 2.574
1.695 5.429 0.000
1.880 12.593 0.000
3.499 3.557 2.574
3.575 7.165 2.574
3.650 10.772 2.574
5.270 1.736 0.000
5.454 8.901 0.000
7.073 3.608 2.574
0.000 7.165 2.574
3.575 0.000 2.574
```

Summary:
Total energy, eV/atom: -5.00
Energy of formation, meV per atom: 32
D(E_F), states/eV per cell: 22.61

=====

Record 3
# La3DyTh

La3DyTh after structural relaxation (PBE, the Alexandria database).

Structure (POSCAR):
```
La3DyTh
1.0
6.088 0.000 0.000
0.000 9.344 3.041
0.000 -9.344 3.041
La Dy Th
6 2 2
Cartesian
1.522 -8.628 3.041
1.522 -4.740 3.039
1.522 -1.185 3.051
4.566 1.185 3.051
4.566 4.740 3.039
4.566 8.628 3.041
1.522 2.861 3.030
4.566 -2.861 3.030
1.522 6.626 3.054
4.566 -6.626 3.054
```

Summary:
Energy relative to the lowest polymorph listed for this composition, meV/atom: 110
Total energy, eV/atom: -5.23
Energy of formation, meV per atom: 132
D(E_F), states/eV per cell: 17.46

=====

Record 4
# LaDy3Th

LaDy3Th after structural relaxation (PBE, the Alexandria database).

Structure (POSCAR):
```
LaDy3Th
1.0
8.997 -1.723 0.000
8.997 1.723 0.000
-3.341 0.000 10.832
La Dy Th
2 6 2
Cartesian
1.593 0.000 0.580
13.061 0.000 10.252
-2.304 0.000 7.913
2.341 0.000 3.986
4.969 0.000 1.518
9.684 0.000 9.314
12.313 0.000 6.845
16.958 0.000 2.919
5.659 0.000 4.969
8.994 0.000 5.863
```

Summary:
Energy relative to the lowest polymorph listed for this composition, meV/atom: 0
Total energy, eV/atom: -5.04
Energy of formation, meV per atom: 196
D(E_F), states/eV per cell: 17.11

=====

Record 5
# La3Dy3Th2

La3Dy3Th2 after structural relaxation (PBE, the Alexandria database).

Structure (POSCAR):
```
La3Dy3Th2
1.0
6.252 0.000 0.000
-2.162 5.908 0.000
-2.048 -2.944 7.252
La Dy Th
3 3 2
Cartesian
0.000 0.000 0.000
-1.080 2.956 1.937
3.123 0.009 5.315
-1.081 2.961 5.410
2.045 2.954 0.000
3.123 0.004 1.842
-0.002 0.003 3.667
2.044 2.961 3.585
```

Summary:
Energy relative to the lowest polymorph listed for this composition, meV/atom: 5
Total energy, eV/atom: -5.39
Energy of formation, meV per atom: 42
D(E_F), states/eV per cell: 12.57

=====

Record 6
# La3Dy6Tm2Th

La3Dy6Tm2Th after structural relaxation (PBE, the Alexandria database).

Structure (POSCAR):
```
La3Dy6Tm2Th
1.0
3.103 -5.375 0.000
3.103 5.375 0.000
-2.073 0.000 11.705
La Dy Tm Th
3 6 2 1
Cartesian
0.000 0.000 0.000
3.103 1.796 0.000
3.103 -1.796 0.000
1.041 1.778 3.002
0.014 0.000 8.706
1.041 -1.778 3.002
3.093 1.778 8.702
4.120 0.000 2.999
3.093 -1.778 8.702
2.067 3.582 5.852
2.067 -3.582 5.852
2.067 0.000 5.852
```

Summary:
Total energy, eV/atom: -4.87
Energy of formation, meV per atom: 23
D(E_F), states/eV per cell: 16.20

=====

Record 7
# La5Dy2TmTh

La5Dy2TmTh after structural relaxation (PBE, the Alexandria database).

Structure (POSCAR):
```
La5Dy2TmTh
1.0
2.753 -10.832 0.000
2.753 10.832 0.000
0.000 0.000 10.696
La Dy Tm Th
10 4 2 2
Cartesian
2.753 10.830 0.000
2.753 -10.830 5.348
2.753 8.052 8.025
2.753 5.994 0.624
2.753 6.003 4.739
2.753 -0.004 2.675
2.753 0.004 8.023
2.753 -5.994 5.972
2.753 -6.003 10.087
2.753 -8.052 2.677
2.753 2.422 5.401
2.753 2.414 10.645
2.753 -2.414 5.297
2.753 -2.422 0.053
2.753 8.610 2.676
2.753 -8.610 8.024
2.753 4.550 8.028
2.753 -4.550 2.680
```

Summary:
Total energy, eV/atom: -4.95
Energy of formation, meV per atom: 128
D(E_F), states/eV per cell: 25.91

=====

Record 8
# La2DyTmTh

La2DyTmTh after structural relaxation (PBE, the Alexandria database).

Structure (POSCAR):
```
La2DyTmTh
1.0
9.217 0.000 0.000
0.000 6.330 0.000
-2.254 0.000 6.091
La Dy Tm Th
4 2 2 2
Cartesian
0.928 1.223 2.081
-0.199 5.107 5.126
7.162 1.223 0.964
6.035 5.107 4.010
-1.691 2.114 4.568
-0.564 4.216 1.523
2.918 0.003 4.568
4.045 6.327 1.523
4.609 3.165 0.000
3.482 3.165 3.045
```

Summary:
Total energy, eV/atom: -4.95
Energy of formation, meV per atom: 321
D(E_F), states/eV per cell: 14.89

=====

Record 9
# LaDyTm2Th

LaDyTm2Th after structural relaxation (PBE, the Alexandria database).

Structure (POSCAR):
```
LaDyTm2Th
1.0
8.654 0.000 0.000
0.000 6.423 0.000
-1.310 0.000 6.203
La Dy Tm Th
2 2 4 2
Cartesian
0.000 0.000 0.000
-0.655 0.000 3.102
3.999 1.078 1.551
3.344 5.344 4.652
1.840 2.113 4.265
2.495 4.310 1.164
4.849 2.113 5.039
5.504 4.310 1.938
-0.328 2.914 1.551
-0.983 3.508 4.652
```

Summary:
Total energy, eV/atom: -4.85
Energy of formation, meV per atom: 333
D(E_F), states/eV per cell: 15.08

=====

Record 10
# La2DyTm5Th

La2DyTm5Th after structural relaxation (PBE, the Alexandria database).

Structure (POSCAR):
```
La2DyTm5Th
1.0
2.797 -9.798 0.000
2.797 9.798 0.000
0.000 0.000 10.917
La Dy Tm Th
4 2 10 2
Cartesian
2.797 7.551 5.459
2.797 7.531 0.890
2.797 -7.531 6.349
2.797 -7.551 0.000
2.797 5.828 8.448
2.797 -5.828 2.989
2.797 9.513 8.676
2.797 4.263 0.796
2.797 3.928 5.190
2.797 2.102 8.574
2.797 0.362 5.486
2.797 -0.362 0.028
2.797 -2.102 3.116
2.797 -3.928 10.648
2.797 -4.263 6.255
2.797 -9.513 3.217
2.797 1.604 2.503
2.797 -1.604 7.961
```

Summary:
Total energy, eV/atom: -4.75
Energy of formation, meV per atom: 166
D(E_F), states/eV per cell: 25.37

=====

Record 11
# LaDy5TmTh2

LaDy5TmTh2 after structural relaxation (PBE, the Alexandria database).

Structure (POSCAR):
```
LaDy5TmTh2
1.0
-4.457 4.457 7.607
4.457 -4.457 7.607
4.457 4.457 -7.607
La Dy Tm Th
2 10 2 4
Cartesian
0.000 0.000 3.803
0.000 0.000 11.410
0.000 0.000 0.000
6.299 1.843 -2.069
1.843 2.614 -2.069
6.299 1.843 2.069
1.843 2.614 2.069
0.000 0.000 7.607
2.614 1.843 5.537
-1.843 2.614 5.537
2.614 1.843 9.676
-1.843 2.614 9.676
4.457 0.000 3.803
0.000 4.457 3.803
3.397 1.060 0.000
3.397 -1.060 7.607
1.060 5.516 0.000
1.060 3.397 7.607
```

Summary:
Total energy, eV/atom: -4.92
Energy of formation, meV per atom: 333
D(E_F), states/eV per cell: 26.20

=====

Record 12
# La2DyY6Th3

La2DyY6Th3 after structural relaxation (PBE, the Alexandria database).

Structure (POSCAR):
```
La2DyY6Th3
1.0
3.125 -5.414 0.000
3.125 5.414 0.000
-2.089 0.000 11.640
La Dy Y Th
2 1 6 3
Cartesian
3.125 3.617 0.000
3.125 -3.617 0.000
3.125 0.000 0.000
-0.001 1.799 8.646
1.046 0.000 2.999
-0.001 -1.799 8.646
4.162 1.799 2.994
3.115 0.000 8.641
4.162 -1.799 2.994
-1.045 0.000 5.820
2.080 1.810 5.820
2.080 -1.810 5.820
```

Summary:
Total energy, eV/atom: -6.27
Energy of formation, meV per atom: 20
D(E_F), states/eV per cell: 17.25